# 1
VASP calculation (SCAN) on a crystal of BaLa2Os relaxed with PBEsol.

```
4
Lattice="-1.6241 4.1160 -0.2312 0.0849 -0.2150 -4.4248 -4.2435 -3.9285 2.3279" Properties=species:S:1:pos:R:3 pbc="T T T"
Os -0.7696 1.9505 -2.3280
Ba -2.4641 -1.0965 -2.2125
La 0.0000 0.0000 0.0000
La -3.3185 1.0690 -0.1156
```

Results
**SG**: I-4m2 (119)
**Calculated volume**: 26.45 Å³ per atom
**Formation enthalpy at 0 K**: 2.0 eV per formula unit
**E above lowest polymorph**: 0.609 eV/atom


# 2
VASP calculation (SCAN) on a crystal of MnSiP2 relaxed with PBEsol.

```
8
Lattice="5.3104 0.0000 0.0000 0.0000 5.3104 0.0000 -2.6552 -2.6552 5.0000" Properties=species:S:1:pos:R:3 pbc="T T T"
P 1.3145 3.9828 1.2500
P 3.9959 1.3276 1.2500
P -1.3276 -1.3407 3.7500
P 1.3276 1.3407 3.7500
Si 2.6552 0.0000 2.5000
Si 2.6552 2.6552 0.0000
Mn 0.0000 2.6552 2.5000
Mn 0.0000 0.0000 0.0000
```

Results
**SG**: I-42d (122)
**Calculated volume**: 17.63 Å³ per atom
**Raw formation energy**: -0.223 eV per atom


# 3
VASP calculation (SCAN) on a crystal of LaAlRu2 relaxed with PBEsol.

```
4
Lattice="-0.9463 1.0674 -2.7302 0.4942 -4.1869 -1.8082 -4.4775 0.4824 3.4782" Properties=species:S:1:pos:R:3 pbc="T T T"
Ru -0.2299 -0.0527 0.0591
Ru -2.7851 0.0041 -0.7708
Al -4.4584 -1.0212 1.1460
La -2.1597 -2.6447 -0.2854
```

Results
**SG**: Imm2 (44)
**Calculated volume**: 17.57 Å³ per atom
**Formation enthalpy at 0 K**: -0.3 eV per formula unit


# 4
VASP calculation (SCAN) on a crystal of Si2WCl relaxed with PBEsol.

```
4
Lattice="2.7764 0.0000 0.0000 1.3882 3.9951 0.0162 1.3882 1.6663 7.1654" Properties=species:S:1:pos:R:3 pbc="T T T"
Cl 1.3882 2.0069 2.1676
Si 1.3882 1.8250 6.4581
Si 4.1645 4.0597 5.2515
W 2.7764 2.2666 4.0606
```

Results
**SG**: Cm (8)
**Calculated volume**: 19.85 Å³ per atom
**Raw formation energy**: 0.334 eV per atom
**E above lowest polymorph**: 0.011 eV/atom


# 5
VASP calculation (SCAN) on a crystal of NdSiPd relaxed with PBEsol.

```
12
Lattice="-4.1413 -0.1213 1.3783 -0.8052 -6.5124 -2.9923 2.2020 -3.1836 6.3363" Properties=species:S:1:pos:R:3 pbc="T T T"
Si -3.0621 -1.6007 1.0328
Si -2.7548 -5.8831 1.5792
Si 0.3177 -8.2167 3.6896
Si 0.0104 -3.9342 3.1431
Nd -1.0031 -3.8752 0.1031
Nd -1.5785 -2.3392 5.4254
Nd -1.1659 -7.4781 -0.7031
Nd -1.7413 -5.9421 4.6192
Pd -2.4422 -3.4565 2.7319
Pd -3.5760 -5.6557 -0.8681
Pd 0.8316 -4.1616 5.5905
Pd -0.3022 -6.3608 1.9904
```

Results
**SG**: Pnma (62)
**Calculated volume**: 19.49 Å³ per atom
**Raw formation energy**: -0.962 eV per atom


# 6
VASP calculation (SCAN) on a crystal of LiHoP4O12 relaxed with PBEsol.

```
36
Lattice="7.0076 0.0000 0.0000 3.5038 8.0905 -0.0015 3.5038 2.4949 7.7117" Properties=species:S:1:pos:R:3 pbc="T T T"
Li 8.4627 3.8938 5.7834
Li 5.5525 6.6916 1.9268
Ho 4.9566 3.8938 5.7834
Ho 9.0586 6.6916 1.9268
P 6.6591 6.8523 4.7473
P 4.5238 4.0272 2.3667
P 1.0200 1.2655 1.4884
P 12.9952 9.3199 6.2218
P 3.8523 1.5596 0.8922
P 7.3561 3.7331 2.9629
P 10.1629 9.0258 6.8180
P 9.4914 6.5582 5.3435
O 7.9140 6.4849 5.6659
O 7.0014 6.6394 0.5698
O 9.9698 2.6320 6.0051
O 2.5974 1.1922 1.8108
O 5.4978 6.0802 5.2827
O 9.7046 7.2219 4.0219
O 6.2008 8.6562 7.5434
O 5.0136 0.7875 1.4276
O 9.0016 9.7979 6.2826
O 4.0454 7.9533 1.7051
O 6.4962 8.4276 5.0092
O 11.4178 9.3932 5.8994
O 7.0014 6.7438 3.2837
O 9.9698 5.1556 5.5617
O 7.8145 1.9292 0.1668
O 8.5174 4.5052 2.4275
O 7.0138 3.9460 7.1403
O 7.5190 2.1578 2.7010
O 4.0454 5.4298 2.1485
O 10.0000 7.4505 6.5561
O 4.0152 3.1349 1.1541
O 7.0138 3.8416 4.4264
O 4.3106 3.3635 3.6883
O 6.1013 4.1005 2.0443
```

Results
**SG**: C2/c (15)
**Calculated volume**: 12.15 Å³ per atom
**Raw formation energy**: -2.737 eV per atom


# 7
VASP calculation (SCAN) on a crystal of Cu5Au relaxed with PBEsol.

```
6
Lattice="3.6527 0.0000 0.0000 0.0000 3.6800 0.0000 -1.8264 0.0000 5.4861" Properties=species:S:1:pos:R:3 pbc="T T T"
Au 0.0000 0.0000 0.0000
Cu 0.0000 1.8400 1.8862
Cu 0.0000 0.0000 3.5948
Cu 1.8264 1.8400 0.0000
Cu 1.8264 0.0000 1.8913
Cu 1.8264 1.8400 3.5999
```

Results
**SG**: Cmmm (65)
**Calculated volume**: 12.29 Å³ per atom
**Formation enthalpy at 0 K**: -0.2 eV per formula unit
**E above lowest polymorph**: 0.000 eV/atom


# 8
VASP calculation (SCAN) on a crystal of MgBCl3 relaxed with PBEsol.

```
5
Lattice="-0.6045 1.8532 3.9376 -4.3075 0.3115 -0.8079 -0.6199 -3.9715 1.7740" Properties=species:S:1:pos:R:3 pbc="T T T"
Mg -2.7659 -0.9034 2.4518
B 0.0000 0.0000 0.0000
Cl -2.1537 0.1558 -0.4039
Cl -0.3100 -1.9857 0.8870
Cl -0.3022 0.9266 1.9688
```

Results
**SG**: Pm-3m (221)
**Calculated volume**: 16.96 Å³ per atom
**Raw formation energy**: -0.105 eV per atom


# 9
VASP calculation (SCAN) on a crystal of TlRe3I relaxed with PBEsol.

```
5
Lattice="-2.3384 3.0771 -2.8836 0.9600 -2.8222 -3.7902 -4.1064 -2.4121 0.7560" Properties=species:S:1:pos:R:3 pbc="T T T"
I 0.0000 0.0000 0.0000
Re 0.4800 -1.4111 -1.8951
Re -2.0532 -1.2061 0.3780
Re -1.1692 1.5386 -1.4418
Tl -2.7424 -1.0786 -2.9589
```

Results
**SG**: Pm-3m (221)
**Calculated volume**: 22.42 Å³ per atom
**Raw formation energy**: 2.942 eV per atom


# 10
VASP calculation (SCAN) on a crystal of SrLa2Ir2 relaxed with PBEsol.

```
10
Lattice="-1.6136 -0.7596 3.4268 -5.6846 -4.4026 -3.6526 4.6235 -6.5682 0.7212" Properties=species:S:1:pos:R:3 pbc="T T T"
Sr 0.0000 0.0000 0.0000
Sr -0.5305 -5.4854 -1.4657
Ir 1.9258 -7.2743 -0.7056
Ir -1.9679 -7.9818 -2.6959
Ir -2.9869 -3.6964 -2.2258
Ir 0.9069 -2.9890 -0.2355
La 1.3432 -5.3363 1.6271
La -0.5970 -8.8191 -0.0585
La -4.0178 -6.3940 -1.1317
La -2.0777 -2.9112 0.5539
```

Results
**SG**: P4/mbm (127)
**Calculated volume**: 25.12 Å³ per atom
**Formation enthalpy at 0 K**: -2.8 eV per formula unit


# 11
VASP calculation (SCAN) on a crystal of SbTe2PtRh relaxed with PBEsol.

```
5
Lattice="4.8751 0.0000 0.0000 0.0000 5.0892 0.0000 0.0000 0.0000 5.0892" Properties=species:S:1:pos:R:3 pbc="T T T"
Sb 2.4375 0.0000 0.0000
Te 0.0000 0.0000 2.5446
Te 0.0000 2.5446 0.0000
Rh 0.0000 0.0000 0.0000
Pt 2.4375 2.5446 2.5446
```

Results
**SG**: P4/mmm (123)
**Calculated volume**: 25.25 Å³ per atom
**Raw formation energy**: 0.709 eV per atom
**E above lowest polymorph**: 0.000 eV/atom


# 12
VASP calculation (SCAN) on a crystal of BaBiBrO2 relaxed with PBEsol.

```
5
Lattice="4.0575 0.0000 0.0000 0.0000 4.0575 0.0000 -2.0288 -2.0288 6.7553" Properties=species:S:1:pos:R:3 pbc="T T T"
Br 2.0288 2.0288 0.0593
Bi 2.0288 2.0288 4.4866
O 0.0000 2.0288 3.5232
O 2.0288 0.0000 3.5232
Ba 0.0000 0.0000 1.9183
```

Results
**SG**: I4mm (107)
**Calculated volume**: 22.24 Å³ per atom
**Raw formation energy**: -1.921 eV per atom